Entry 1:
KMnCr | GGA-PBE | optimized geometry

For the calculated total energy, the calculation gives -59.86 eV for the cell shown.

The structure belongs to space group F-43m (No. 216); the cell edges are 7.417, 7.417 and 7.417 Å and the angles 90.00°, 90.00° and 90.00°. The inequivalent atoms are K at (0.000, 0.000, 0.000), Mn at (0.250, 0.250, 0.250) and Cr at (0.000, 0.000, 0.500).

Entry 2:
AlFe2Co | GGA-PBE | optimized geometry

For the calculated total energy, the calculation gives -28.41 eV for the cell shown.

The structure belongs to space group P2/m (No. 10); the cell edges are 2.552, 3.884 and 4.943 Å and the angles 90.00°, 104.40° and 90.00°. The inequivalent atoms are Al at (0.000, 0.000, 0.000), Fe at (0.465, 0.500, 0.746) and Co at (0.000, 0.000, 0.500).

Entry 3:
PmTmGa2 | GGA-PBE | optimized geometry

For the calculated total energy, the calculation gives -50.57 eV for the cell shown.

The structure belongs to space group R-3m (No. 166, hexagonal axes); the cell edges are 3.6708, 3.6708 and 26.2842 Å and the angles 90.00°, 90.00° and 120.00°. The inequivalent atoms are Pm at (0.0000, 0.0000, 0.0000), Tm at (0.0000, 0.0000, 0.5000) and Ga at (0.0000, 0.0000, 0.2471).